(1)
A plane-wave DFT calculation with PBE was carried out for crystalline KSc2Cu at its relaxed geometry.

* formation energy: 0.695 eV per atom
* calculated volume: 25.1 Å³ per atom

```
KSc2Cu
1.0
-5.7051 0.2374 0.8753
-1.6154 -3.2714 4.4787
4.0708 4.0409 -0.6854
Sc Cu K
2 1 1
direct
0.0000 0.0000 0.0000
0.5000 0.5000 0.0000
0.2500 0.7500 0.5000
0.7500 0.2500 0.5000
```

(2)
A plane-wave DFT calculation with PBE was carried out for crystalline Pa5Cd3O16 at its relaxed geometry.

* raw formation energy: -2.72 eV/atom
* calculated volume: 17.6 Å³ per atom

```
Pa5Cd3O16
1.0
-3.5972 2.2201 -5.4464
-6.8059 0.8359 0.7162
1.6032 9.4824 2.9645
O Pa Cd
16 5 3
direct
0.1893 0.6600 0.8943
0.0144 0.0144 0.6960
0.8279 0.8279 0.3971
0.3111 0.3111 0.3982
0.4353 0.0675 0.1453
0.5221 0.9270 0.6626
0.9270 0.5221 0.6626
0.3605 0.8364 0.3985
0.8364 0.3605 0.3985
0.4607 0.4607 0.1617
0.6479 0.6479 0.8942
0.0099 0.0099 0.1980
0.0675 0.4353 0.1453
0.1742 0.1742 0.8853
0.5355 0.5355 0.6605
0.6600 0.1893 0.8943
0.3359 0.8335 0.7894
0.3411 0.3411 0.0118
0.6764 0.6764 0.4987
0.8335 0.3359 0.7894
0.1644 0.1644 0.2894
0.8356 0.8356 0.8090
0.6659 0.1675 0.3021
0.1675 0.6659 0.3021
```

(3)
A plane-wave DFT calculation with PBE was carried out for crystalline ZnPdRh at its relaxed geometry.

* formation energy: -0.217 eV per atom
* calculated volume: 14.8 Å³ per atom

```
ZnPdRh
1.0
-2.4894 2.0968 5.7138
0.4786 -2.4952 1.1242
8.9704 2.8525 2.5126
Rh Zn Pd
4 4 4
direct
0.4416 0.0000 0.6943
0.4918 0.0000 0.4302
0.4918 0.5000 0.9302
0.4416 0.5000 0.1943
0.7593 0.0000 0.0974
0.7593 0.5000 0.5974
0.1396 0.0000 0.2925
0.1396 0.5000 0.7925
0.1463 0.0000 0.0276
0.1463 0.5000 0.5276
0.8160 0.0000 0.8296
0.8160 0.5000 0.3296
```